ErTaCr2O8: relaxed, PBE+U.

Cell: 4.7487 4.7444 6.2960 Å, 90.00 90.00 88.89°
Last column: magnetic moment on the atom in μB.
Sites, in units of the cell vectors:
Ta: 0.0000 0.0000 0.0000  0.07
O: 0.2042 0.7947 0.2256  -0.07
O: 0.2042 0.7947 0.7744  -0.07
O: 0.7958 0.2053 0.7744  -0.07
O: 0.6921 0.6931 0.0000  -0.23
O: 0.3079 0.3069 0.0000  -0.23
O: 0.3272 0.3259 0.5000  -0.26
Cr: 0.4999 0.4999 0.2505  2.62
O: 0.7958 0.2053 0.2256  -0.07
Er: 0.0000 0.0000 0.5000  0.02
Cr: 0.5001 0.5001 0.7495  2.62
O: 0.6728 0.6741 0.5000  -0.26

Computed properties:
SG: Cmmm (65)
Total moment: 4.0 μB/f.u.
Total energy: -8.233 eV/atom